The following is a SCAN calculation of a crystal of Cd2AsIr relaxed with PBEsol, from Alexandria via LeMat-Bulk.

Values from the calculation:
- total DFT energy (no corrections) (eV per atom) = -37.674

Cell lengths 4.709, 4.709, 3.200 Å; angles 90.00, 90.00, 90.00 degrees
Space group P4/mmm (No. 123)
Inequivalent atoms, fractional coordinates:
Cd 0.000 0.500 0.000 x2
As 0.000 0.000 0.500 x1
Ir 0.500 0.500 0.500 x1

---

The following is a SCAN calculation of a crystal of LiTaBiF2 relaxed with PBEsol, from Alexandria via LeMat-Bulk.

Values from the calculation:
- formation energy (no corrections) (eV per atom) = -0.7839

Cell lengths 3.889, 3.889, 5.361 Å; angles 90.00, 90.00, 90.00 degrees
Space group P4/mmm (No. 123)
Inequivalent atoms, fractional coordinates:
Li 0.000 0.000 0.000 x1
Ta 0.500 0.500 0.500 x1
Bi 0.000 0.000 0.500 x1
F 0.000 0.500 0.000 x2

---

The following is a SCAN calculation of a crystal of TaReTc2 relaxed with PBEsol, from Alexandria via LeMat-Bulk.

Values from the calculation:
- total DFT energy (no corrections) (eV per atom) = -52.034

Cell lengths 2.738, 4.307, 5.190 Å; angles 90.00, 101.14, 90.00 degrees
Space group P2/m (No. 10)
Inequivalent atoms, fractional coordinates:
Ta 0.000 0.000 0.000 x1
Re 0.500 0.000 0.500 x1
Tc 0.211 0.500 0.749 x2

---

The following is a SCAN calculation of a crystal of NaCu2Ge2 relaxed with PBEsol, from Alexandria via LeMat-Bulk.

Values from the calculation:
- total DFT energy (no corrections) (eV per atom) = -14.642

Cell lengths 4.097, 4.097, 10.028 Å; angles 90.00, 90.00, 90.00 degrees
Space group I4/mmm (No. 139)
Inequivalent atoms, fractional coordinates:
Na 0.000 0.000 0.000 x2
Cu 0.000 0.500 0.250 x4
Ge 0.000 0.000 0.376 x4